[1]
Density functional theory data (PBE-GGA) for an optimized crystal structure of KLa2Co.

a = 6.769 Å, b = 6.769 Å, c = 6.769 Å
α = 147.47°, β = 119.86°, γ = 70.07°
Atoms (fractional coordinates):
Co1 0.750 0.250 0.500
K1 0.250 0.750 0.500
La1 0.912 0.912 0.000
La2 0.588 0.588 0.000

Density of states at the Fermi level   2.795 states/eV per cell
Density   4.38 Mg/m³
Relative energy among the computed polymorphs   264.9 meV/atom
Space-group type   Immm, No. 71
Energy relative to the elements   0.24 eV/atom

---

[2]
Density functional theory data (PBE-GGA) for an optimized crystal structure of KLa2Co.

a = 3.636 Å, b = 3.636 Å, c = 10.884 Å
α = 90.00°, β = 90.00°, γ = 101.83°
Atoms (fractional coordinates):
Co1 0.500 0.500 0.250
K1 0.500 0.500 0.750
La1 0.000 0.000 0.104
La2 0.000 0.000 0.396

Density of states at the Fermi level   4.219 states/eV per cell
Density   4.43 Mg/m³
Relative energy among the computed polymorphs   127.3 meV/atom
Space-group type   Cmmm, No. 65
Energy relative to the elements   0.10 eV/atom